The following is a GGA-PBE calculation of crystalline In2IrPt at its relaxed geometry, from Alexandria via LeMat-Bulk. Values from VASP.

```
&SYSTEM
  ibrav = 0, nat = 4, ntyp = 3
/
ATOMIC_SPECIES
In 114.82 In.upf
Ir 192.22 Ir.upf
Pt 195.08 Pt.upf
ATOMIC_POSITIONS crystal
In 0.0000 0.0000 0.0000
In 0.0000 0.5000 0.4624
Ir 0.5000 0.5000 0.9581
Pt 0.5000 0.0000 0.5060
CELL_PARAMETERS angstrom
3.0610 0.0000 0.0000
0.0000 4.7875 0.0000
0.0000 0.0000 4.8298
```

Properties
DFT formation energy = -202 meV/atom
symmetry = Pmm2 (25)
theoretical density = 14.474 Mg/m³
Fermi-level density of states = 0.336 states/eV per atom


The following is a GGA-PBE calculation of crystalline ScCo2Se at its relaxed geometry, from Alexandria via LeMat-Bulk. Values from VASP.

```
&SYSTEM
  ibrav = 0, nat = 4, ntyp = 3
/
ATOMIC_SPECIES
Sc 44.96 Sc.upf
Co 58.93 Co.upf
Se 78.96 Se.upf
ATOMIC_POSITIONS crystal
Sc 0.0000 0.0000 0.0000
Co 0.0000 0.5000 0.5000
Co 0.5000 0.0000 0.5000
Se 0.5000 0.5000 0.0000
CELL_PARAMETERS angstrom
3.6984 0.0000 0.0000
0.0000 3.7123 0.0000
0.0000 0.0000 4.3360
```

Properties
E_form (uncorrected) = -0.226 eV per atom
symmetry = Pmmm (47)
theoretical density = 6.744 Mg/m³
Fermi-level density of states = 1.038 states/eV per atom


The following is a GGA-PBE calculation of crystalline ZrAl2SnOs at its relaxed geometry, from Alexandria via LeMat-Bulk. Values from VASP.

```
&SYSTEM
  ibrav = 0, nat = 5, ntyp = 4
/
ATOMIC_SPECIES
Zr 91.22 Zr.upf
Al 26.98 Al.upf
Sn 118.71 Sn.upf
Os 190.23 Os.upf
ATOMIC_POSITIONS crystal
Zr 0.0000 0.0000 0.0000
Al 0.0000 0.5000 0.5000
Al 0.5000 0.0000 0.5000
Sn 0.5000 0.5000 0.5000
Os 0.5000 0.5000 0.0000
CELL_PARAMETERS angstrom
4.9482 0.0000 0.0000
0.0000 4.9482 0.0000
0.0000 0.0000 4.8464
```

Properties
DFT formation energy = 1331 meV/atom
symmetry = P4/mmm (123)
theoretical density = 6.355 Mg/m³
Fermi-level density of states = 0.985 states/eV per atom


The following is a GGA-PBE calculation of crystalline YSn2SbSe at its relaxed geometry, from Alexandria via LeMat-Bulk. Values from VASP.

```
&SYSTEM
  ibrav = 0, nat = 5, ntyp = 4
/
ATOMIC_SPECIES
Y 88.91 Y.upf
Sn 118.71 Sn.upf
Sb 121.76 Sb.upf
Se 78.96 Se.upf
ATOMIC_POSITIONS crystal
Y 0.0000 0.0000 0.0000
Sn 0.0000 0.5000 0.5000
Sn 0.5000 0.0000 0.5000
Sb 0.5000 0.5000 0.0000
Se 0.0000 0.0000 0.5000
CELL_PARAMETERS angstrom
5.5279 0.0000 0.0000
0.0000 5.5279 0.0000
0.0000 0.0000 5.3519
```

Properties
E_form (uncorrected) = -0.031 eV per atom
symmetry = P4/mmm (123)
theoretical density = 5.351 Mg/m³
Fermi-level density of states = 0.739 states/eV per atom


The following is a GGA-PBE calculation of crystalline Ba2LaYAu at its relaxed geometry, from Alexandria via LeMat-Bulk. Values from VASP.

```
&SYSTEM
  ibrav = 0, nat = 5, ntyp = 4
/
ATOMIC_SPECIES
Ba 137.33 Ba.upf
La 138.91 La.upf
Y 88.91 Y.upf
Au 196.97 Au.upf
ATOMIC_POSITIONS crystal
Ba 0.0000 0.5000 0.0000
Ba 0.5000 0.0000 0.0000
La 0.0000 0.0000 0.5000
Y 0.5000 0.5000 0.0000
Au 0.5000 0.5000 0.5000
CELL_PARAMETERS angstrom
6.4014 0.0000 0.0000
0.0000 6.4014 0.0000
0.0000 0.0000 5.2703
```

Properties
DFT formation energy = 514 meV/atom
symmetry = P4/mmm (123)
theoretical density = 5.378 Mg/m³
Fermi-level density of states = 1.815 states/eV per atom


The following is a GGA-PBE calculation of crystalline AlCr2Co2 at its relaxed geometry, from Alexandria via LeMat-Bulk. Values from VASP.

```
&SYSTEM
  ibrav = 0, nat = 10, ntyp = 3
/
ATOMIC_SPECIES
Al 26.98 Al.upf
Cr 52.00 Cr.upf
Co 58.93 Co.upf
ATOMIC_POSITIONS crystal
Al 0.0000 0.0000 0.0000
Al 0.5000 0.5000 0.0000
Cr 0.1151 0.3849 0.0000
Cr 0.3849 0.8849 0.0000
Cr 0.6151 0.1151 0.0000
Cr 0.8849 0.6151 0.0000
Co 0.1760 0.6760 0.5000
Co 0.3240 0.1760 0.5000
Co 0.6760 0.8240 0.5000
Co 0.8240 0.3240 0.5000
CELL_PARAMETERS angstrom
6.8971 0.0000 0.0000
0.0000 6.8971 0.0000
0.0000 0.0000 2.5518
```

Properties
DFT formation energy = 146 meV/atom
symmetry = P4/mbm (127)
theoretical density = 6.808 Mg/m³
Fermi-level density of states = 1.126 states/eV per atom


The following is a GGA-PBE calculation of crystalline Ac6Pr4Er at its relaxed geometry, from Alexandria via LeMat-Bulk. Values from VASP.

```
&SYSTEM
  ibrav = 0, nat = 11, ntyp = 3
/
ATOMIC_SPECIES
Ac 227.00 Ac.upf
Pr 140.91 Pr.upf
Er 167.26 Er.upf
ATOMIC_POSITIONS crystal
Ac 0.0000 0.5000 0.5000
Ac 0.0394 0.6731 0.0000
Ac 0.3269 0.3269 0.3663
Ac 0.5000 0.0000 0.5000
Ac 0.6731 0.0394 0.0000
Ac 0.9606 0.9606 0.6337
Pr 0.1482 0.1482 0.6302
Pr 0.4820 0.8518 0.0000
Pr 0.5180 0.5180 0.3698
Pr 0.8518 0.4820 0.0000
Er 0.5000 0.5000 0.0000
CELL_PARAMETERS angstrom
-3.5321 3.5321 9.3814
3.5321 -3.5321 9.3814
3.5321 3.5321 -9.3814
```

Properties
DFT formation energy = 302 meV/atom
symmetry = I-42m (121)
theoretical density = 7.424 Mg/m³
Fermi-level density of states = 1.635 states/eV per atom


The following is a GGA-PBE calculation of crystalline MnV2AuN at its relaxed geometry, from Alexandria via LeMat-Bulk. Values from VASP.

```
&SYSTEM
  ibrav = 0, nat = 5, ntyp = 4
/
ATOMIC_SPECIES
Mn 54.94 Mn.upf
V 50.94 V.upf
Au 196.97 Au.upf
N 14.01 N.upf
ATOMIC_POSITIONS crystal
Mn 0.0000 0.0000 0.0000
V 0.0000 0.5000 0.5000
V 0.5000 0.0000 0.5000
Au 0.0000 0.0000 0.5000
N 0.5000 0.5000 0.0000
CELL_PARAMETERS angstrom
4.8018 0.0000 0.0000
0.0000 4.8018 0.0000
0.0000 0.0000 4.8882
```

Properties
E_form (uncorrected) = 2.338 eV per atom
symmetry = P4/mmm (123)
theoretical density = 5.419 Mg/m³
Fermi-level density of states = 2.263 states/eV per atom


The following is a GGA-PBE calculation of crystalline Er8Ru2Pb at its relaxed geometry, from Alexandria via LeMat-Bulk. Values from VASP.

```
&SYSTEM
  ibrav = 0, nat = 11, ntyp = 3
/
ATOMIC_SPECIES
Er 167.26 Er.upf
Ru 101.07 Ru.upf
Pb 207.20 Pb.upf
ATOMIC_POSITIONS crystal
Er 0.0000 0.0000 0.0000
Er 0.1102 0.1102 0.6378
Er 0.2878 0.2878 0.1478
Er 0.3295 0.3295 0.7327
Er 0.5015 0.5015 0.2638
Er 0.6719 0.6719 0.0727
Er 0.7145 0.7145 0.5717
Er 0.8924 0.8924 0.4184
Ru 0.1728 0.1728 0.3380
Ru 0.8280 0.8280 0.9933
Pb 0.5005 0.5005 0.6992
CELL_PARAMETERS angstrom
8.6722 -2.6187 0.0000
8.6722 2.6187 0.0000
-2.7540 0.0000 6.3443
```

Properties
DFT formation energy = -253 meV/atom
symmetry = Cm (8)
theoretical density = 10.070 Mg/m³
Fermi-level density of states = 0.863 states/eV per atom


The following is a GGA-PBE calculation of crystalline LiFeTe2 at its relaxed geometry, from Alexandria via LeMat-Bulk. Values from VASP.

```
&SYSTEM
  ibrav = 0, nat = 8, ntyp = 3
/
ATOMIC_SPECIES
Li 6.94 Li.upf
Fe 55.84 Fe.upf
Te 127.60 Te.upf
ATOMIC_POSITIONS crystal
Li 0.0000 0.0000 0.0000
Li 0.5000 0.5000 0.5000
Fe 0.0000 0.5000 0.2471
Fe 0.5000 0.0000 0.7471
Te 0.0000 0.0000 0.6045
Te 0.0000 0.5000 0.8305
Te 0.5000 0.0000 0.3305
Te 0.5000 0.5000 0.1045
CELL_PARAMETERS angstrom
3.4847 0.0000 0.0000
0.0000 3.6732 0.0000
0.0000 0.0000 13.9665
```

Properties
E_form (uncorrected) = -0.158 eV per atom
symmetry = Imm2 (44)
theoretical density = 5.907 Mg/m³
Fermi-level density of states = 0.952 states/eV per atom


The following is a GGA-PBE calculation of crystalline MnB2Mo at its relaxed geometry, from Alexandria via LeMat-Bulk. Values from VASP.

```
&SYSTEM
  ibrav = 0, nat = 16, ntyp = 3
/
ATOMIC_SPECIES
Mn 54.94 Mn.upf
B 10.81 B.upf
Mo 95.94 Mo.upf
ATOMIC_POSITIONS crystal
Mn 0.0000 0.0000 0.0000
Mn 0.0000 0.5000 0.5000
Mn 0.5000 0.0000 0.5000
Mn 0.5000 0.5000 0.0000
B 0.2500 0.2500 0.2500
B 0.2500 0.2500 0.7500
B 0.2500 0.7500 0.2500
B 0.2500 0.7500 0.7500
B 0.7500 0.2500 0.2500
B 0.7500 0.2500 0.7500
B 0.7500 0.7500 0.2500
B 0.7500 0.7500 0.7500
Mo 0.0000 0.0000 0.5000
Mo 0.0000 0.5000 0.0000
Mo 0.5000 0.0000 0.0000
Mo 0.5000 0.5000 0.5000
CELL_PARAMETERS angstrom
5.3362 0.0000 0.0000
0.0000 5.3362 0.0000
0.0000 0.0000 5.3362
```

Properties
DFT formation energy = 210 meV/atom
symmetry = Fm-3m (225)
theoretical density = 7.540 Mg/m³
Fermi-level density of states = 0.920 states/eV per atom


The following is a GGA-PBE calculation of crystalline Sr2Li2Te at its relaxed geometry, from Alexandria via LeMat-Bulk. Values from VASP.

```
&SYSTEM
  ibrav = 0, nat = 10, ntyp = 3
/
ATOMIC_SPECIES
Sr 87.62 Sr.upf
Li 6.94 Li.upf
Te 127.60 Te.upf
ATOMIC_POSITIONS crystal
Sr 0.0000 0.0000 0.0966
Sr 0.0000 0.0000 0.9034
Sr 0.5000 0.5000 0.4034
Sr 0.5000 0.5000 0.5966
Li 0.0000 0.5000 0.2500
Li 0.0000 0.5000 0.7500
Li 0.5000 0.0000 0.2500
Li 0.5000 0.0000 0.7500
Te 0.0000 0.0000 0.5000
Te 0.5000 0.5000 0.0000
CELL_PARAMETERS angstrom
4.0869 0.0000 0.0000
0.0000 4.0869 0.0000
0.0000 0.0000 20.2035
```

Properties
E_form (uncorrected) = -0.542 eV per atom
symmetry = I4/mmm (139)
theoretical density = 3.117 Mg/m³
Fermi-level density of states = 0.617 states/eV per atom


The following is a GGA-PBE calculation of crystalline LiPmNdLu at its relaxed geometry, from Alexandria via LeMat-Bulk. Values from VASP.

```
&SYSTEM
  ibrav = 0, nat = 16, ntyp = 4
/
ATOMIC_SPECIES
Li 6.94 Li.upf
Pm 145.00 Pm.upf
Nd 144.24 Nd.upf
Lu 174.97 Lu.upf
ATOMIC_POSITIONS crystal
Li 0.0000 0.0000 0.0000
Li 0.0000 0.5000 0.5000
Li 0.5000 0.0000 0.5000
Li 0.5000 0.5000 0.0000
Pm 0.2500 0.2500 0.2500
Pm 0.2500 0.7500 0.7500
Pm 0.7500 0.2500 0.7500
Pm 0.7500 0.7500 0.2500
Nd 0.2500 0.2500 0.7500
Nd 0.2500 0.7500 0.2500
Nd 0.7500 0.2500 0.2500
Nd 0.7500 0.7500 0.7500
Lu 0.0000 0.0000 0.5000
Lu 0.0000 0.5000 0.0000
Lu 0.5000 0.0000 0.0000
Lu 0.5000 0.5000 0.5000
CELL_PARAMETERS angstrom
7.8331 0.0000 0.0000
0.0000 7.8331 0.0000
0.0000 0.0000 7.8331
```

Properties
DFT formation energy = 140 meV/atom
symmetry = F-43m (216)
theoretical density = 6.511 Mg/m³
Fermi-level density of states = 1.119 states/eV per atom


The following is a GGA-PBE calculation of crystalline Ba2Y2Co at its relaxed geometry, from Alexandria via LeMat-Bulk. Values from VASP.

```
&SYSTEM
  ibrav = 0, nat = 10, ntyp = 3
/
ATOMIC_SPECIES
Ba 137.33 Ba.upf
Y 88.91 Y.upf
Co 58.93 Co.upf
ATOMIC_POSITIONS crystal
Ba 0.1819 0.3181 0.0000
Ba 0.3181 0.8181 0.0000
Ba 0.6819 0.1819 0.0000
Ba 0.8181 0.6819 0.0000
Y 0.1769 0.6769 0.5000
Y 0.3231 0.1769 0.5000
Y 0.6769 0.8231 0.5000
Y 0.8231 0.3231 0.5000
Co 0.0000 0.0000 0.5000
Co 0.5000 0.5000 0.5000
CELL_PARAMETERS angstrom
7.2239 0.0000 0.0000
0.0000 7.2239 0.0000
0.0000 0.0000 6.6650
```

Properties
DFT formation energy = 272 meV/atom
symmetry = P4/mbm (127)
theoretical density = 4.883 Mg/m³
Fermi-level density of states = 1.201 states/eV per atom


The following is a GGA-PBE calculation of crystalline ZrTa2P2 at its relaxed geometry, from Alexandria via LeMat-Bulk. Values from VASP.

```
&SYSTEM
  ibrav = 0, nat = 10, ntyp = 3
/
ATOMIC_SPECIES
Zr 91.22 Zr.upf
Ta 180.95 Ta.upf
P 30.97 P.upf
ATOMIC_POSITIONS crystal
Zr 0.0000 0.0000 0.0000
Zr 0.5000 0.5000 0.0000
Ta 0.1478 0.3522 0.5000
Ta 0.3522 0.8522 0.5000
Ta 0.6478 0.1478 0.5000
Ta 0.8522 0.6478 0.5000
P 0.1435 0.6435 0.0000
P 0.3565 0.1435 0.0000
P 0.6435 0.8565 0.0000
P 0.8565 0.3565 0.0000
CELL_PARAMETERS angstrom
6.9783 0.0000 0.0000
0.0000 6.9783 0.0000
0.0000 0.0000 3.3495
```

Properties
DFT formation energy = -735 meV/atom
symmetry = P4/mbm (127)
theoretical density = 10.487 Mg/m³
Fermi-level density of states = 0.703 states/eV per atom


The following is a GGA-PBE calculation of crystalline Rb3Pm3ReS8 at its relaxed geometry, from Alexandria via LeMat-Bulk. Values from VASP.

```
&SYSTEM
  ibrav = 0, nat = 15, ntyp = 4
/
ATOMIC_SPECIES
Rb 85.47 Rb.upf
Pm 145.00 Pm.upf
Re 186.21 Re.upf
S 32.06 S.upf
ATOMIC_POSITIONS crystal
Rb 0.0000 0.5000 0.5000
Rb 0.5000 0.0000 0.5000
Rb 0.5000 0.5000 0.0000
Pm 0.0000 0.0000 0.5000
Pm 0.0000 0.5000 0.0000
Pm 0.5000 0.0000 0.0000
Re 0.5000 0.5000 0.5000
S 0.2326 0.2326 0.2326
S 0.2637 0.7080 0.7080
S 0.2920 0.2920 0.7363
S 0.2920 0.7363 0.2920
S 0.7080 0.2637 0.7080
S 0.7080 0.7080 0.2637
S 0.7363 0.2920 0.2920
S 0.7674 0.7674 0.7674
CELL_PARAMETERS angstrom
4.0355 2.3299 7.8551
-4.0355 2.3299 7.8551
0.0000 -4.6598 7.8551
```

Properties
E_form (uncorrected) = -1.433 eV per atom
symmetry = R-3m (166)
theoretical density = 4.250 Mg/m³


The following is a GGA-PBE calculation of crystalline TaMnFe at its relaxed geometry, from Alexandria via LeMat-Bulk. Values from VASP.

```
&SYSTEM
  ibrav = 0, nat = 12, ntyp = 3
/
ATOMIC_SPECIES
Ta 180.95 Ta.upf
Mn 54.94 Mn.upf
Fe 55.84 Fe.upf
ATOMIC_POSITIONS crystal
Ta 0.0000 0.2500 0.1236
Ta 0.0000 0.7500 0.8764
Ta 0.5000 0.2500 0.3764
Ta 0.5000 0.7500 0.6236
Mn 0.2500 0.2500 0.7500
Mn 0.2500 0.7500 0.2500
Mn 0.7500 0.2500 0.7500
Mn 0.7500 0.7500 0.2500
Fe 0.0000 0.0000 0.5000
Fe 0.0000 0.5000 0.5000
Fe 0.5000 0.0000 0.0000
Fe 0.5000 0.5000 0.0000
CELL_PARAMETERS angstrom
4.7486 0.0000 0.0000
0.0000 4.8234 0.0000
0.0000 0.0000 6.8429
```

Properties
DFT formation energy = -197 meV/atom
symmetry = Imma (74)
theoretical density = 12.363 Mg/m³
Fermi-level density of states = 1.443 states/eV per atom


The following is a GGA-PBE calculation of crystalline La5Sm2Er6 at its relaxed geometry, from Alexandria via LeMat-Bulk. Values from VASP.

```
&SYSTEM
  ibrav = 0, nat = 26, ntyp = 3
/
ATOMIC_SPECIES
La 138.91 La.upf
Sm 150.36 Sm.upf
Er 167.26 Er.upf
ATOMIC_POSITIONS crystal
La 0.0000 0.0000 0.0000
La 0.0773 0.2726 0.0000
La 0.2010 0.5472 0.0000
La 0.2990 0.0472 0.0000
La 0.4227 0.7726 0.0000
La 0.5000 0.5000 0.0000
La 0.5773 0.2274 0.0000
La 0.7010 0.9528 0.0000
La 0.7990 0.4528 0.0000
La 0.9227 0.7274 0.0000
Sm 0.1751 0.7113 0.5000
Sm 0.3249 0.2113 0.5000
Sm 0.6751 0.7887 0.5000
Sm 0.8249 0.2887 0.5000
Er 0.0615 0.4191 0.5000
Er 0.0777 0.1315 0.5000
Er 0.1788 0.8625 0.0000
Er 0.3212 0.3625 0.0000
Er 0.4223 0.6315 0.5000
Er 0.4385 0.9191 0.5000
Er 0.5615 0.0809 0.5000
Er 0.5777 0.3685 0.5000
Er 0.6788 0.6375 0.0000
Er 0.8212 0.1375 0.0000
Er 0.9223 0.8685 0.5000
Er 0.9385 0.5809 0.5000
CELL_PARAMETERS angstrom
11.7173 0.0000 0.0000
0.0000 20.7598 0.0000
0.0000 0.0000 3.6259
```

Properties
DFT formation energy = 96 meV/atom
symmetry = Pbam (55)
theoretical density = 7.526 Mg/m³
Fermi-level density of states = 1.291 states/eV per atom